# 1
The following is a PBE calculation of crystalline Pr5Bi4I at its relaxed geometry, from Alexandria.

```
Pr5Bi4I
1.0
-2.3676 0.6568 -3.9519
2.9263 -5.2338 -2.6230
-8.7932 -4.4654 7.2655
Pr Bi I
5 4 1
Direct
0.6076 0.1076 0.2152
0.0000 0.5000 0.0000
0.8010 0.3010 0.6021
0.1989 0.6990 0.3979
0.3924 0.8924 0.7848
0.4014 0.4014 0.8029
0.7985 0.7985 0.5970
0.2015 0.2015 0.4030
0.5986 0.5986 0.1971
0.0000 0.0000 0.0000
```

formation energy (no corrections): -0.956 eV/atom
symmetry: Immm (71)


# 2
The following is a PBE calculation of crystalline Pr4Bi2I3 at its relaxed geometry, from Alexandria.

```
Pr4Bi2I3
1.0
4.6031 0.0000 0.0038
-2.3016 3.9863 -0.0038
-0.0061 0.0035 19.2137
Bi I Pr
2 3 4
Direct
0.6670 0.3330 0.8008
0.3330 0.6670 0.1992
0.3339 0.6661 0.6057
0.0000 0.0000 0.0000
0.6661 0.3339 0.3943
0.9996 0.0004 0.2920
0.6665 0.3335 0.1084
0.3335 0.6665 0.8916
0.0004 0.9996 0.7080
```

formation energy (no corrections): -1.073 eV/atom
symmetry: C2/m (12)


# 3
The following is a PBE calculation of crystalline Pr2BiI2 at its relaxed geometry, from Alexandria.

```
Pr2BiI2
1.0
4.5591 0.0000 0.0000
2.2795 3.9483 0.0000
2.2795 1.3161 11.5872
I Bi Pr
2 1 2
Direct
0.2238 0.2238 0.3287
0.7762 0.7762 0.6713
0.0000 0.0000 0.0000
0.3859 0.3859 0.8424
0.6141 0.6141 0.1576
```

formation energy (no corrections): -1.215 eV/atom
symmetry: R-3m (166)


# 4
The following is a PBE calculation of crystalline Pr3Bi2I2 at its relaxed geometry, from Alexandria.

```
Pr3Bi2I2
1.0
-3.9866 2.3029 -0.5326
-1.6897 -6.7312 3.7677
1.9220 4.7195 6.0701
I Bi Pr
2 2 3
Direct
0.3768 0.7531 0.1370
0.6232 0.2469 0.8630
0.1156 0.2299 0.3800
0.8844 0.7701 0.6200
0.7400 0.4790 0.2693
0.2600 0.5210 0.7307
0.0000 0.0000 0.0000
```

formation energy (no corrections): -0.836 eV/atom
symmetry: P-1 (2)


- Which value of formation energy (no corrections) does entry 3 give?
  -1.215 eV/atom